# 1
DFT (PBE) results for a relaxed structure of NpP2PdRu.

Structure (POSCAR):
```
NpP2PdRu
1.0
-1.9670 1.9670 5.1282
1.9670 -1.9670 5.1282
1.9670 1.9670 -5.1282
Np P Pd Ru
1 2 1 1
direct
0.0000 0.0000 0.0000 Np
0.3901 0.3901 0.0000 P
0.6099 0.6099 0.0000 P
0.7500 0.2500 0.5000 Pd
0.2500 0.7500 0.5000 Ru
```

Values from the calculation:
Electronic total energy = -8.26 eV per atom

---

# 2
DFT (PBE) results for a relaxed structure of InNiCl2.

Structure (POSCAR):
```
InNiCl2
1.0
0.0000 3.4220 3.4220
3.4220 0.0000 3.4220
3.4220 3.4220 0.0000
In Ni Cl
1 1 2
direct
0.0000 0.0000 0.0000 In
0.7500 0.7500 0.7500 Ni
0.2500 0.2500 0.2500 Cl
0.5000 0.5000 0.5000 Cl
```

Values from the calculation:
Energy relative to the elements, uncorrected = 0.2059 eV per atom
Energy above the most stable polymorph in this dataset = 679 meV per atom
Electronic total energy = -2.85 eV per atom

---

# 3
DFT (PBE) results for a relaxed structure of TlAsPd2.

Structure (POSCAR):
```
TlAsPd2
1.0
1.6000 0.9238 8.3519
-1.6000 0.9238 8.3519
0.0000 -1.8476 8.3519
Tl As Pd
1 1 2
direct
0.0000 0.0000 0.0000 Tl
0.1669 0.1669 0.1669 As
0.5751 0.5751 0.5751 Pd
0.7579 0.7579 0.7579 Pd
```

Values from the calculation:
Electronic total energy = -4.49 eV per atom

---

# 4
DFT (PBE) results for a relaxed structure of CaAcGaIr.

Structure (POSCAR):
```
CaAcGaIr
1.0
4.1405 0.0000 0.0000
0.0000 2.1884 5.8685
0.0000 -2.1884 5.8685
Ca Ac Ga Ir
1 1 1 1
direct
0.0000 0.0000 0.0000 Ca
0.5000 0.2807 0.2807 Ac
0.5000 0.5765 0.5765 Ga
0.0000 0.7115 0.7115 Ir
```

Values from the calculation:
Energy above the most stable polymorph in this dataset = 0 meV per atom
Electronic total energy = -5.07 eV per atom